A plane-wave DFT calculation with GGA-PBE was carried out for a geometry-optimized Al2ZnB structure.

The theoretical density comes out at 2.77 g/cm3. The value obtained for the formation energy is 0.5308 eV/atom. For the energy above the most stable polymorph in this dataset, the calculation gives 0.000 eV per atom. Its uncorrected energy is -0.245 Ry per atom.

Lattice parameters (Å, degrees): 5.720 5.720 6.251 62.77 62.77 90.00
Positions (direct):
Al: 0.875 0.772 0.750
Al: 0.522 0.125 0.250
Al: 0.228 0.625 0.250
Al: 0.375 0.478 0.750
B: 0.500 0.500 0.000
B: 0.250 0.750 0.500
Zn: 0.750 0.250 0.500
Zn: 0.000 0.000 0.000

---

A plane-wave DFT calculation with GGA-PBE was carried out for a geometry-optimized Y3Ag4Au2 structure.

The theoretical density comes out at 9.11 g/cm3. The value obtained for the formation energy is -0.4083 eV/atom. Its uncorrected energy is -0.335 Ry per atom.

Lattice parameters (Å, degrees): 5.302 8.876 8.876 76.12 81.38 81.38
Positions (direct):
Y: 0.750 0.619 0.381
Y: 0.074 0.959 0.703
Y: 0.926 0.041 0.297
Y: 0.574 0.703 0.959
Y: 0.250 0.381 0.619
Y: 0.426 0.297 0.041
Ag: 0.983 0.178 0.935
Ag: 0.517 0.065 0.822
Ag: 0.628 0.848 0.598
Ag: 0.872 0.402 0.152
Ag: 0.372 0.152 0.402
Ag: 0.483 0.935 0.178
Ag: 0.128 0.598 0.848
Ag: 0.017 0.822 0.065
Au: 0.685 0.482 0.741
Au: 0.315 0.518 0.259
Au: 0.815 0.259 0.518
Au: 0.185 0.741 0.482

---

A plane-wave DFT calculation with GGA-PBE was carried out for a geometry-optimized Ac4Tb3Nd structure.

The theoretical density comes out at 8.16 g/cm3. The value obtained for the formation energy is 0.1669 eV/atom. Its uncorrected energy is -0.310 Ry per atom.

Lattice parameters (Å, degrees): 3.685 12.035 9.424 129.67 101.26 90.01
Positions (direct):
Tb: 0.000 0.500 0.000
Tb: 0.771 0.771 0.542
Tb: 0.229 0.229 0.458
Nd: 0.500 0.000 0.000
Ac: 0.369 0.615 0.737
Ac: 0.368 0.122 0.737
Ac: 0.632 0.878 0.263
Ac: 0.631 0.385 0.263

---

A plane-wave DFT calculation with GGA-PBE was carried out for a geometry-optimized GaNiPd2 structure.

The theoretical density comes out at 9.15 g/cm3. The value obtained for the formation energy is -0.0324 eV/atom. Its uncorrected energy is -0.355 Ry per atom.

Lattice parameters (Å, degrees): 3.742 3.742 9.230 78.30 78.30 90.00
Positions (direct):
Pd: 0.375 0.377 0.750
Pd: 0.623 0.125 0.250
Pd: 0.127 0.625 0.250
Pd: 0.875 0.873 0.750
Ga: 0.750 0.250 0.500
Ga: 0.000 0.000 0.000
Ni: 0.250 0.750 0.500
Ni: 0.500 0.500 0.000

---

A plane-wave DFT calculation with GGA-PBE was carried out for a geometry-optimized Li2MgNbBr structure.

The theoretical density comes out at 2.22 g/cm3. Its uncorrected energy is -0.204 Ry per atom. The value obtained for the formation energy without anion corrections is 0.663 eV per atom.

Lattice parameters (Å, degrees): 5.599 5.025 5.599 90.00 90.00 90.00
Positions (direct):
Li: 0.000 0.000 0.500
Li: 0.500 0.000 0.000
Nb: 0.000 0.000 0.000
Mg: 0.500 0.500 0.500
Br: 0.000 0.500 0.000

---

A plane-wave DFT calculation with GGA-PBE was carried out for a geometry-optimized Pr2SmTl2 structure.

The theoretical density comes out at 8.96 g/cm3. The value obtained for the formation energy is -0.3007 eV/atom. For the energy above the most stable polymorph in this dataset, the calculation gives 0.000 eV per atom. Its uncorrected energy is -0.302 Ry per atom.

Lattice parameters (Å, degrees): 3.876 5.538 14.645 90.00 97.62 90.00
Positions (direct):
Sm: 0.146 0.250 0.295
Sm: 0.854 0.750 0.705
Pr: 0.048 0.750 0.097
Pr: 0.762 0.250 0.527
Pr: 0.238 0.750 0.473
Pr: 0.952 0.250 0.903
Tl: 0.356 0.250 0.713
Tl: 0.550 0.250 0.101
Tl: 0.644 0.750 0.287
Tl: 0.450 0.750 0.899

---

A plane-wave DFT calculation with GGA-PBE was carried out for a geometry-optimized YMnTc2Sn structure.

The theoretical density comes out at 6.76 g/cm3. The value obtained for the formation energy is 1.8586 eV/atom. Its uncorrected energy is -0.457 Ry per atom.

Lattice parameters (Å, degrees): 4.885 4.722 4.885 90.00 90.00 90.00
Positions (direct):
Sn: 0.500 0.500 0.500
Mn: 0.000 0.500 0.000
Y: 0.000 0.000 0.000
Tc: 0.500 0.000 0.000
Tc: 0.000 0.000 0.500

---

A plane-wave DFT calculation with GGA-PBE was carried out for a geometry-optimized LiNpI5 structure.

The theoretical density comes out at 4.36 g/cm3. Its uncorrected energy is -0.300 Ry per atom. The value obtained for the formation energy without anion corrections is -0.849 eV per atom.

Lattice parameters (Å, degrees): 8.112 8.112 11.632 108.73 110.73 91.84
Positions (direct):
I: 0.752 0.180 0.841
I: 0.074 0.324 0.250
I: 0.661 0.589 0.341
I: 0.206 0.830 0.526
I: 0.926 0.676 0.750
I: 0.696 0.820 0.026
I: 0.248 0.820 0.159
I: 0.339 0.411 0.659
I: 0.304 0.180 0.974
I: 0.794 0.170 0.474
Np: 0.000 0.000 0.000
Np: 0.000 0.500 0.500
Li: 0.375 0.125 0.750
Li: 0.625 0.875 0.250

---

A plane-wave DFT calculation with GGA-PBE was carried out for a geometry-optimized HgMo3Se structure.

The theoretical density comes out at 7.68 g/cm3. For the energy above the most stable polymorph in this dataset, the calculation gives 1.545 eV per atom. Its uncorrected energy is -0.341 Ry per atom. The value obtained for the formation energy without anion corrections is 2.615 eV per atom.

Lattice parameters (Å, degrees): 4.968 4.968 4.968 90.00 90.00 90.00
Positions (direct):
Mo: 0.500 0.000 0.000
Mo: 0.000 0.500 0.000
Mo: 0.000 0.000 0.500
Hg: 0.000 0.000 0.000
Se: 0.500 0.500 0.500

---

A plane-wave DFT calculation with GGA-PBE was carried out for a geometry-optimized ScVSi2 structure.

The theoretical density comes out at 3.79 g/cm3. For the energy above the most stable polymorph in this dataset, the calculation gives 0.067 eV per atom. Its uncorrected energy is -0.493 Ry per atom. The value obtained for the formation energy without anion corrections is -0.135 eV per atom.

Lattice parameters (Å, degrees): 6.925 6.925 5.629 52.04 52.04 90.00
Positions (direct):
Sc: 0.250 0.750 0.500
Sc: 0.500 0.500 0.000
Si: 0.650 0.125 0.250
Si: 0.375 0.350 0.750
Si: 0.100 0.625 0.250
Si: 0.875 0.900 0.750
V: 0.000 0.000 0.000
V: 0.750 0.250 0.500

---

A plane-wave DFT calculation with GGA-PBE was carried out for a geometry-optimized CeCd structure.

The theoretical density comes out at 8.36 g/cm3. The value obtained for the formation energy is -0.1335 eV/atom. Its uncorrected energy is -0.262 Ry per atom.

Lattice parameters (Å, degrees): 3.561 4.143 6.813 90.00 93.51 90.00
Positions (direct):
Ce: 0.820 0.250 0.402
Ce: 0.180 0.750 0.598
Cd: 0.723 0.250 0.890
Cd: 0.277 0.750 0.110

---

A plane-wave DFT calculation with GGA-PBE was carried out for a geometry-optimized Na2La2Bi structure.

The theoretical density comes out at 4.49 g/cm3. The value obtained for the formation energy is -0.0455 eV/atom. For the energy above the most stable polymorph in this dataset, the calculation gives 0.089 eV per atom. Its uncorrected energy is -0.244 Ry per atom.

Lattice parameters (Å, degrees): 8.162 8.162 5.916 90.00 90.00 90.00
Positions (direct):
Bi: 0.000 0.000 0.000
Bi: 0.500 0.500 0.000
La: 0.132 0.368 0.000
La: 0.368 0.868 0.000
La: 0.632 0.132 0.000
La: 0.868 0.632 0.000
Na: 0.832 0.332 0.500
Na: 0.668 0.832 0.500
Na: 0.168 0.668 0.500
Na: 0.332 0.168 0.500

---

A plane-wave DFT calculation with GGA-PBE was carried out for a geometry-optimized MnGaBr4 structure.

The theoretical density comes out at 3.20 g/cm3. For the energy above the most stable polymorph in this dataset, the calculation gives 0.000 eV per atom. Its uncorrected energy is -0.279 Ry per atom. The value obtained for the formation energy without anion corrections is -0.651 eV per atom.

Lattice parameters (Å, degrees): 6.366 6.366 7.261 116.00 116.00 90.00
Positions (direct):
Br: 0.633 0.591 0.744
Br: 0.111 0.153 0.744
Br: 0.847 0.367 0.256
Br: 0.409 0.889 0.256
Ga: 0.500 0.500 0.000
Mn: 0.750 0.250 0.500

---

A plane-wave DFT calculation with GGA-PBE was carried out for a geometry-optimized NaAgRu2 structure.

The theoretical density comes out at 7.47 g/cm3. The value obtained for the formation energy is 1.1808 eV/atom. For the energy above the most stable polymorph in this dataset, the calculation gives 0.035 eV per atom. Its uncorrected energy is -0.331 Ry per atom.

Lattice parameters (Å, degrees): 7.791 7.791 6.025 49.71 49.71 90.00
Positions (direct):
Ru: 0.875 0.904 0.750
Ru: 0.654 0.125 0.250
Ru: 0.375 0.346 0.750
Ru: 0.096 0.625 0.250
Ag: 0.000 0.000 0.000
Ag: 0.750 0.250 0.500
Na: 0.250 0.750 0.500
Na: 0.500 0.500 0.000

---

A plane-wave DFT calculation with GGA-PBE was carried out for a geometry-optimized Ho2ZnB2Ru5 structure.

The theoretical density comes out at 10.75 g/cm3. The value obtained for the formation energy is -0.3817 eV/atom. Its uncorrected energy is -0.544 Ry per atom.

Lattice parameters (Å, degrees): 3.122 9.552 9.552 90.00 90.00 90.00
Positions (direct):
Ho: 0.000 0.824 0.676
Ho: 0.000 0.324 0.824
Ho: 0.000 0.176 0.324
Ho: 0.000 0.676 0.176
Ru: 0.500 0.070 0.782
Ru: 0.500 0.218 0.070
Ru: 0.500 0.500 0.000
Ru: 0.500 0.718 0.430
Ru: 0.500 0.282 0.570
Ru: 0.500 0.000 0.500
Ru: 0.500 0.430 0.282
Ru: 0.500 0.930 0.218
Ru: 0.500 0.782 0.930
Ru: 0.500 0.570 0.718
Zn: 0.000 0.000 0.000
Zn: 0.000 0.500 0.500
B: 0.000 0.625 0.875
B: 0.000 0.125 0.625
B: 0.000 0.875 0.375
B: 0.000 0.375 0.125

---

A plane-wave DFT calculation with GGA-PBE was carried out for a geometry-optimized Tb2SmHo6Sc structure.

The theoretical density comes out at 8.01 g/cm3. The value obtained for the formation energy is 0.1264 eV/atom. Its uncorrected energy is -0.342 Ry per atom.

Lattice parameters (Å, degrees): 9.413 8.665 8.665 117.31 93.84 93.84
Positions (direct):
Tb: 0.452 0.799 0.695
Tb: 0.952 0.695 0.799
Tb: 0.048 0.305 0.201
Tb: 0.548 0.201 0.305
Sc: 0.750 0.587 0.413
Sc: 0.250 0.413 0.587
Ho: 0.944 0.874 0.250
Ho: 0.884 0.293 0.508
Ho: 0.116 0.707 0.492
Ho: 0.811 0.435 0.993
Ho: 0.616 0.492 0.707
Ho: 0.384 0.508 0.293
Ho: 0.689 0.007 0.565
Ho: 0.189 0.565 0.007
Ho: 0.311 0.993 0.435
Ho: 0.056 0.126 0.750
Ho: 0.556 0.750 0.126
Ho: 0.444 0.250 0.874
Sm: 0.750 0.022 0.978
Sm: 0.250 0.978 0.022

---

A plane-wave DFT calculation with GGA-PBE was carried out for a geometry-optimized MnNCl structure.

The theoretical density comes out at 2.83 g/cm3. Its uncorrected energy is -0.470 Ry per atom. The value obtained for the formation energy without anion corrections is 0.052 eV per atom.

Lattice parameters (Å, degrees): 2.674 8.475 5.482 90.00 90.00 99.08
Positions (direct):
Cl: 0.333 0.665 0.750
Cl: 0.667 0.335 0.250
Mn: 0.000 0.000 0.500
Mn: 0.000 0.000 0.000
N: 0.488 0.976 0.250
N: 0.512 0.024 0.750

---

A plane-wave DFT calculation with GGA-PBE was carried out for a geometry-optimized Tb5TmZn6 structure.

The theoretical density comes out at 8.23 g/cm3. The value obtained for the formation energy is -0.3383 eV/atom. Its uncorrected energy is -0.241 Ry per atom.

Lattice parameters (Å, degrees): 5.041 7.174 7.977 90.00 71.58 90.00
Positions (direct):
Tb: 0.334 0.000 0.332
Tb: 0.332 0.500 0.335
Tb: 0.000 0.500 0.000
Tb: 0.666 0.000 0.668
Tb: 0.668 0.500 0.665
Zn: 0.500 0.247 0.000
Zn: 0.165 0.753 0.670
Zn: 0.835 0.753 0.330
Zn: 0.835 0.247 0.330
Zn: 0.500 0.753 0.000
Zn: 0.165 0.247 0.670
Tm: 0.000 0.000 0.000

---

A plane-wave DFT calculation with GGA-PBE was carried out for a geometry-optimized NaCa2PO structure.

The theoretical density comes out at 2.60 g/cm3. Its uncorrected energy is -0.348 Ry per atom. The value obtained for the formation energy without anion corrections is -1.598 eV per atom.

Lattice parameters (Å, degrees): 4.662 4.662 4.412 90.00 90.00 90.00
Positions (direct):
Na: 0.000 0.000 0.500
Ca: 0.000 0.500 0.000
Ca: 0.500 0.000 0.000
P: 0.500 0.500 0.500
O: 0.000 0.000 0.000

---

A plane-wave DFT calculation with GGA-PBE was carried out for a geometry-optimized ZnReOs structure.

The theoretical density comes out at 16.42 g/cm3. The value obtained for the formation energy is 0.3393 eV/atom. For the energy above the most stable polymorph in this dataset, the calculation gives 0.307 eV per atom. Its uncorrected energy is -0.586 Ry per atom.

Lattice parameters (Å, degrees): 7.151 6.914 2.720 83.79 73.99 22.22
Positions (direct):
Zn: 0.666 0.666 0.334
Os: 0.997 0.997 0.003
Re: 0.337 0.337 0.663

---

A plane-wave DFT calculation with GGA-PBE was carried out for a geometry-optimized Li3Ca4Cu2 structure.

The theoretical density comes out at 2.17 g/cm3. The value obtained for the formation energy is -0.0237 eV/atom. Its uncorrected energy is -0.181 Ry per atom.

Lattice parameters (Å, degrees): 4.389 6.788 8.615 107.22 104.76 90.00
Positions (direct):
Ca: 0.772 0.294 0.543
Ca: 0.432 0.160 0.864
Ca: 0.228 0.706 0.457
Ca: 0.568 0.840 0.136
Li: 0.000 0.500 0.000
Li: 0.102 0.221 0.204
Li: 0.898 0.779 0.796
Cu: 0.611 0.437 0.221
Cu: 0.389 0.563 0.779

---

A plane-wave DFT calculation with GGA-PBE was carried out for a geometry-optimized Sc2BiPd structure.

The theoretical density comes out at 7.13 g/cm3. The value obtained for the formation energy is -0.0237 eV/atom. Its uncorrected energy is -0.401 Ry per atom.

Lattice parameters (Å, degrees): 10.478 10.478 10.478 17.86 17.86 17.86
Positions (direct):
Sc: 0.080 0.080 0.080
Sc: 0.920 0.920 0.920
Bi: 0.500 0.500 0.500
Pd: 0.000 0.000 0.000